Entry 1:
# LiCa2Cd

A relaxed structure of LiCa2Cd (PBE, the Alexandria database).

Summary:
Calculated formation energy = -3.641 kcal/mol of atoms
Density of states at the Fermi level = 0.78 states/eV/atom
Symmetry = Cm, No. 8

Lattice parameters (Å, degrees): 6.2889 6.2889 5.6904 109.08 109.08 33.62
Fractional positions:
Li1 0.0000 0.0000 0.0000
Ca1 0.5610 0.5610 0.5559
Ca2 0.7685 0.7685 0.2067
Cd1 0.3096 0.3096 0.7357

=====

Entry 2:
# ScTl2Br

A relaxed structure of ScTl2Br (PBE, the Alexandria database).

Summary:
ΔE_f (raw) = -94 kJ/mol of formula units
Density of states at the Fermi level = 0.73 states/eV/atom
Symmetry = P2/m, No. 10

Lattice parameters (Å, degrees): 3.6196 5.9531 5.3590 90.00 91.38 90.00
Fractional positions:
Sc1 0.0000 0.0000 0.0000
Tl1 0.2910 0.5000 0.2413
Tl2 0.7090 0.5000 0.7587
Br1 0.0000 0.0000 0.5000

=====

Q: Among the records above, which one has the highest density of states at the Fermi level?
A: LiCa2Cd

=====

Q: Which value of density of states at the Fermi level does entry 1 give?
A: 0.78 states/eV/atom